Density functional theory data (PBE-GGA) for a relaxed Pu2GeS6 crystal.

Its volume is 24.225 A^3/atom. As for the total energy: -131.0 eV/cell. The density of states at the Fermi level is 1.581 states/eV/atom. For the uncorrected formation energy, the calculation gives -0.83 eV per atom.

It has space group P4_2/mnm (No. 136), with a = 6.024 Å, b = 6.024 Å, c = 12.018 Å, α = 90.00°, β = 90.00° and γ = 90.00°. Symmetry generates all atoms from Pu at (0.000, 0.000, 0.167), Ge at (0.000, 0.000, 0.500), S at (0.187, 0.187, 0.344) and S at (0.203, 0.203, 0.000).